No. 1
TaP2Au: PBEsol geometry, meta-GGA SCAN.

Unit cell a=6.2516 b=6.2516 c=6.2516 alpha=90.00 beta=90.00 gamma=90.00
Closest atoms and distances in Å follow each position.
Space group Fm-3m (No. 225)
Asymmetric unit:
Ta  0.0000  0.0000  0.0000 x4  8 P 2.71
P  0.2500  0.2500  0.2500 x8  4 Ta 2.71, 4 Au 2.71
Au  0.0000  0.0000  0.5000 x4  8 P 2.71

Computed properties:
Formation enthalpy at 0 K ... 25.98 kJ per mole of atoms
Energy relative to the lowest polymorph listed for this composition ... 343 meV/atom

No. 2
BaNa2Zn2: PBEsol geometry, meta-GGA SCAN.

Unit cell a=4.6108 b=4.6108 c=13.8507 alpha=90.00 beta=90.00 gamma=90.00
Closest atoms and distances in Å follow each position.
Space group I4/mmm (No. 139)
Asymmetric unit:
Ba  0.0000  0.0000  0.0000 x2  8 Zn 3.50
Na  0.0000  0.5000  0.2500 x4  4 Zn 3.18, 4 Na 3.26
Zn  0.0000  0.0000  0.4079 x4  1 Zn 2.55

Computed properties:
Formation enthalpy at 0 K ... -3.30 kJ per mole of atoms

No. 3
Sc4MnHg: PBEsol geometry, meta-GGA SCAN.

Unit cell a=7.9442 b=7.9442 c=7.9442 alpha=90.00 beta=90.00 gamma=90.00
Closest atoms and distances in Å follow each position.
Space group F-43m (No. 216)
Asymmetric unit:
Sc  0.1243  0.1243  0.3757 x16  6 Sc 2.79-2.82
Mn  0.2500  0.2500  0.7500 x4  12 Sc 3.29, 4 Hg 3.44
Hg  0.0000  0.0000  0.0000 x4  12 Sc 3.30, 4 Mn 3.44

Computed properties:
Formation enthalpy at 0 K ... 23.56 kJ per mole of atoms

No. 4
LaMg2Ir: PBEsol geometry, meta-GGA SCAN.

Unit cell a=4.0832 b=4.0832 c=5.1395 alpha=90.00 beta=90.00 gamma=90.00
Closest atoms and distances in Å follow each position.
Space group P4/mmm (No. 123)
Asymmetric unit:
La  0.0000  0.0000  0.0000 x1  4 Ir 2.89
Mg  0.0000  0.5000  0.5000 x2  4 Mg 2.89
Ir  0.5000  0.5000  0.0000 x1  4 La 2.89

Computed properties:
Formation enthalpy at 0 K ... -29.62 kJ per mole of atoms

No. 5
RuPtS2: PBEsol geometry, meta-GGA SCAN.

Unit cell a=6.0329 b=6.0329 c=6.0329 alpha=90.00 beta=90.00 gamma=90.00
Closest atoms and distances in Å follow each position.
Space group Fm-3m (No. 225)
Asymmetric unit:
Ru  0.0000  0.0000  0.0000 x4  8 S 2.61
Pt  0.0000  0.0000  0.5000 x4  8 S 2.61
S  0.2500  0.2500  0.2500 x8  4 Ru 2.61, 4 Pt 2.61

Computed properties:
Energy relative to the lowest polymorph listed for this composition ... 657 meV/atom
Uncorrected formation energy ... 482 meV/atom

No. 6
Bi8SbAuBr9: PBEsol geometry, meta-GGA SCAN.

Unit cell a=10.5792 b=15.2483 c=14.6288 alpha=90.00 beta=93.90 gamma=90.00
Closest atoms and distances in Å follow each position.
Space group P2_1/c (No. 14)
Asymmetric unit:
Bi  0.0312  0.1435  0.1883 x4  4 Br 2.82-3.09, 1 Sb 2.91
Bi  0.0475  0.6443  0.6854 x4  4 Br 2.85-3.00, 1 Sb 2.93
Bi  0.2231  0.0477  0.5220 x4  1 Au 2.88, 2 Bi 3.19-3.22
Bi  0.3086  0.6483  0.9703 x4  1 Au 2.89, 4 Bi 3.20-3.23
Bi  0.3300  0.0110  0.0418 x4  4 Br 2.82-3.02, 1 Sb 2.92
Bi  0.3808  0.5730  0.1713 x4  1 Au 2.88, 1 Bi 3.20
Bi  0.4122  0.1850  0.4352 x4  1 Au 2.88, 3 Bi 3.22
Bi  0.4466  0.1333  0.6489 x4  1 Au 2.89, 3 Bi 3.19-3.23
Sb  0.2190  0.0048  0.2194 x4  1 Au 2.68, 3 Bi 2.91-2.93
Au  0.3751  0.0073  0.3718 x4  1 Sb 2.68, 5 Bi 2.88-2.89
Br  0.0076  0.6305  0.1233 x4  1 Bi 2.82
Br  0.0181  0.6342  0.8781 x4  1 Bi 2.86
Br  0.1517  0.0041  0.8230 x4  2 Bi 2.96-3.00
Br  0.1711  0.6523  0.5107 x4  2 Bi 2.95-3.02
Br  0.1726  0.1679  0.0124 x4  2 Bi 2.93-3.09
Br  0.2322  0.2452  0.7597 x4  1 Bi 2.86
Br  0.2581  0.7457  0.7567 x4  1 Bi 2.85
Br  0.4903  0.1115  0.8728 x4  1 Bi 2.89
Br  0.4935  0.6311  0.3770 x4  1 Bi 2.82

Computed properties:
Uncorrected formation energy ... -420 meV/atom

No. 7
Zn2AgTe: PBEsol geometry, meta-GGA SCAN.

Unit cell a=3.0256 b=3.0256 c=8.2886 alpha=90.00 beta=90.00 gamma=90.00
Closest atoms and distances in Å follow each position.
Space group P4mm (No. 99)
Asymmetric unit:
Zn  0.0000  0.0000  0.0000 x1  4 Zn 2.63, 4 Ag 2.74
Zn  0.5000  0.5000  0.1841 x1  4 Zn 2.63
Ag  0.5000  0.5000  0.7928 x1  4 Zn 2.74, 4 Ag 3.03
Te  0.0000  0.0000  0.4983 x1  4 Te 3.03, 4 Ag 3.25, 4 Zn 3.37

Computed properties:
Energy relative to the lowest polymorph listed for this composition ... 0 meV/atom
Uncorrected formation energy ... 203 meV/atom

No. 8
FeCo2AgPb: PBEsol geometry, meta-GGA SCAN.

Unit cell a=4.6978 b=4.6978 c=4.7961 alpha=90.00 beta=90.00 gamma=90.00
Closest atoms and distances in Å follow each position.
Space group P4/mmm (No. 123)
Asymmetric unit:
Fe  0.0000  0.0000  0.0000 x1  2 Pb 2.40
Co  0.0000  0.5000  0.5000 x2  2 Pb 2.35
Ag  0.5000  0.5000  0.0000 x1  4 Fe 3.32, 8 Co 3.36
Pb  0.0000  0.0000  0.5000 x1  4 Co 2.35, 2 Fe 2.40

Computed properties:
Formation enthalpy at 0 K ... 150.35 kJ per mole of atoms

No. 9
Y4CrNi: PBEsol geometry, meta-GGA SCAN.

Unit cell a=8.4883 b=8.4883 c=8.4883 alpha=90.00 beta=90.00 gamma=90.00
Closest atoms and distances in Å follow each position.
Space group F-43m (No. 216)
Asymmetric unit:
Y  0.1247  0.1247  0.1247 x16  6 Y 2.99-3.01
Cr  0.0000  0.0000  0.5000 x4  12 Y 3.52, 4 Ni 3.68
Ni  0.2500  0.2500  0.7500 x4  12 Y 3.52, 4 Cr 3.68

Computed properties:
Formation enthalpy at 0 K ... 82.42 kJ per mole of atoms

No. 10
YMn2Co: PBEsol geometry, meta-GGA SCAN.

Unit cell a=2.9946 b=2.9946 c=6.4659 alpha=90.00 beta=90.00 gamma=90.00
Closest atoms and distances in Å follow each position.
Space group P4mm (No. 99)
Asymmetric unit:
Y  0.0000  0.0000  0.0000 x1  4 Co 2.84, 4 Mn 2.96, 4 Y 2.99
Mn  0.0000  0.0000  0.4941 x1  4 Mn 2.44, 4 Co 2.48
Mn  0.5000  0.5000  0.6812 x1  4 Mn 2.44, 1 Co 2.51
Co  0.5000  0.5000  0.2930 x1  5 Mn 2.48-2.51

Computed properties:
Formation enthalpy at 0 K ... 0.53 kJ per mole of atoms
Energy relative to the lowest polymorph listed for this composition ... 0 meV/atom

No. 11
As2OsAuBr: PBEsol geometry, meta-GGA SCAN.

Unit cell a=4.6459 b=4.6459 c=5.2896 alpha=90.00 beta=90.00 gamma=90.00
Closest atoms and distances in Å follow each position.
Space group P4/mmm (No. 123)
Asymmetric unit:
As  0.0000  0.5000  0.0000 x2  2 Os 2.32
Os  0.0000  0.0000  0.0000 x1  4 As 2.32
Au  0.5000  0.5000  0.5000 x1  4 Br 3.29, 8 As 3.52
Br  0.0000  0.0000  0.5000 x1  2 Os 2.64

Computed properties:
Uncorrected formation energy ... 749 meV/atom

No. 12
ReNiIr2: PBEsol geometry, meta-GGA SCAN.

Unit cell a=4.5151 b=4.5151 c=2.7024 alpha=90.00 beta=90.00 gamma=90.00
Closest atoms and distances in Å follow each position.
Space group P4/mmm (No. 123)
Asymmetric unit:
Re  0.0000  0.0000  0.0000 x1  8 Ir 2.63, 2 Re 2.70
Ni  0.5000  0.5000  0.0000 x1  8 Ir 2.63, 2 Ni 2.70
Ir  0.0000  0.5000  0.5000 x2  4 Re 2.63, 4 Ni 2.63, 2 Ir 2.70

Computed properties:
Formation enthalpy at 0 K ... 26.09 kJ per mole of atoms
Energy relative to the lowest polymorph listed for this composition ... 428 meV/atom

No. 13
ZnTcI2: PBEsol geometry, meta-GGA SCAN.

Unit cell a=6.8710 b=6.8710 c=6.8710 alpha=90.00 beta=90.00 gamma=90.00
Closest atoms and distances in Å follow each position.
Space group Fm-3m (No. 225)
Asymmetric unit:
Zn  0.0000  0.0000  0.0000 x4  8 I 2.98
Tc  0.0000  0.0000  0.5000 x4  8 I 2.98
I  0.2500  0.2500  0.2500 x8  4 Tc 2.98, 4 Zn 2.98

Computed properties:
Uncorrected formation energy ... 1021 meV/atom

No. 14
Li5Nb2V3O10: PBEsol geometry, meta-GGA SCAN.

Unit cell a=4.9878 b=5.1950 c=7.6326 alpha=102.41 beta=108.51 gamma=98.93
Closest atoms and distances in Å follow each position.
Space group P-1 (No. 2)
Asymmetric unit:
Li  0.0000  0.0000  0.0000 x1  6 O 2.09-2.12
Li  0.1926  0.4955  0.9124 x2  5 O 2.01-2.19
Li  0.3666  0.4772  0.2774 x2  5 O 1.96-2.13
Nb  0.4076  0.9964  0.7824 x2  6 O 2.03-2.15
V  0.0000  0.5000  0.5000 x1  6 O 1.99-2.05
V  0.2525  0.0028  0.4057 x2  6 O 1.98-2.17
O  0.0131  0.2356  0.2636 x2  2 Li 1.96-2.09, 2 V 2.05-2.06, 1 Nb 2.13
O  0.1731  0.2373  0.6392 x2  3 V 2.04-2.17, 1 Nb 2.09, 1 Li 2.19
O  0.2026  0.7477  0.1573 x2  4 Li 1.98-2.12, 1 V 1.98, 1 Nb 2.03
O  0.3878  0.7118  0.5279 x2  3 V 1.99-2.03, 2 Li 2.00-2.13, 1 Nb 2.14
O  0.4151  0.2367  0.0523 x2  4 Li 2.00-2.12, 2 Nb 2.03-2.15

Computed properties:
Uncorrected formation energy ... -2462 meV/atom

No. 15
Te2MoBr: PBEsol geometry, meta-GGA SCAN.

Unit cell a=3.1731 b=5.0037 c=12.6008 alpha=90.00 beta=90.00 gamma=90.00
Closest atoms and distances in Å follow each position.
Space group Immm (No. 71)
Asymmetric unit:
Te  0.0000  0.0000  0.1744 x4  2 Mo 2.71
Mo  0.0000  0.5000  0.5000 x2  4 Te 2.71, 4 Br 2.96
Br  0.0000  0.5000  0.0000 x2  4 Mo 2.96, 2 Br 3.17

Computed properties:
Energy relative to the lowest polymorph listed for this composition ... 304 meV/atom
Uncorrected formation energy ... 284 meV/atom

No. 16
SrMoP2Cl: PBEsol geometry, meta-GGA SCAN.

Unit cell a=5.3555 b=5.3555 c=5.1608 alpha=90.00 beta=90.00 gamma=90.00
Closest atoms and distances in Å follow each position.
Space group P4/mmm (No. 123)
Asymmetric unit:
Sr  0.0000  0.0000  0.0000 x1  2 Cl 2.58, 4 P 2.68
Mo  0.5000  0.5000  0.5000 x1  8 P 3.72, 4 Cl 3.79
P  0.0000  0.5000  0.0000 x2  2 Sr 2.68
Cl  0.0000  0.0000  0.5000 x1  2 Sr 2.58

Computed properties:
Uncorrected formation energy ... 1075 meV/atom

No. 17
Ca2AgP: PBEsol geometry, meta-GGA SCAN.

Unit cell a=4.1926 b=4.1926 c=5.8199 alpha=90.00 beta=90.00 gamma=90.00
Closest atoms and distances in Å follow each position.
Space group P4mm (No. 99)
Asymmetric unit:
Ca  0.0000  0.0000  0.0000 x1  2 P 2.90-2.92, 4 Ag 2.97
Ca  0.5000  0.5000  0.4813 x1  2 Ag 2.88-2.94, 4 P 2.97
Ag  0.5000  0.5000  0.9760 x1  6 Ca 2.88-2.97
P  0.0000  0.0000  0.4985 x1  6 Ca 2.90-2.97

Computed properties:
Formation enthalpy at 0 K ... -61.75 kJ per mole of atoms

No. 18
AlCuRu2: PBEsol geometry, meta-GGA SCAN.

Unit cell a=3.7820 b=3.7820 c=7.2645 alpha=90.00 beta=90.00 gamma=90.00
Closest atoms and distances in Å follow each position.
Space group I-4m2 (No. 119)
Asymmetric unit:
Al  0.0000  0.0000  0.0000 x2  8 Ru 2.62-2.67, 4 Cu 2.62
Cu  0.0000  0.5000  0.2500 x2  8 Ru 2.62-2.67, 4 Al 2.62
Ru  0.0000  0.0000  0.5000 x2  4 Cu 2.62, 4 Ru 2.62, 4 Al 2.67
Ru  0.0000  0.5000  0.7500 x2  4 Al 2.62, 4 Ru 2.62, 4 Cu 2.67

Computed properties:
Formation enthalpy at 0 K ... -16.64 kJ per mole of atoms

No. 19
BiTeRu2: PBEsol geometry, meta-GGA SCAN.

Unit cell a=6.6161 b=6.6161 c=6.6161 alpha=90.00 beta=90.00 gamma=90.00
Closest atoms and distances in Å follow each position.
Space group Fm-3m (No. 225)
Asymmetric unit:
Bi  0.0000  0.0000  0.0000 x4  8 Ru 2.86
Te  0.0000  0.0000  0.5000 x4  8 Ru 2.86
Ru  0.2500  0.2500  0.2500 x8  4 Bi 2.86, 4 Te 2.86

Computed properties:
Uncorrected formation energy ... 488 meV/atom

No. 20
ScIrO2: PBEsol geometry, meta-GGA SCAN.

Unit cell a=3.0098 b=3.0098 c=18.6355 alpha=90.00 beta=90.00 gamma=120.00
Closest atoms and distances in Å follow each position.
Space group R-3m (No. 166, hexagonal axes)
Asymmetric unit:
Sc  0.0000  0.0000  0.0000 x3  6 O 2.06
Ir  0.0000  0.0000  0.5000 x3  2 O 2.01
O  0.0000  0.0000  0.3923 x6  1 Ir 2.01, 3 Sc 2.06

Computed properties:
Energy relative to the lowest polymorph listed for this composition ... 0 meV/atom
Uncorrected formation energy ... -2148 meV/atom